Record 1
BeSbP2: relaxed, PBE.

The space group is Pmm2 (No. 25) and the conventional cell measures 3.373, 3.576 and 5.939 Å, with angles of 90.00, 90.00 and 90.00 degrees. The inequivalent atoms are Be at (0.000, 0.000, 0.000), Sb at (0.500, 0.500, 0.136), P at (0.000, 0.000, 0.639) and P at (0.500, 0.500, 0.571).



Record 2
BeSbP2: relaxed, PBE.

The space group is I-42d (No. 122) and the conventional cell measures 5.532, 5.532 and 10.794 Å, with angles of 90.00, 90.00 and 90.00 degrees. The inequivalent atoms are Be at (0.000, 0.000, 0.000), Sb at (0.000, 0.000, 0.500) and P at (0.174, 0.250, 0.125).



Quick rundown of energy relative to the elements, uncorrected, same order as above: 0.23 0.05 eV per atom
Quick rundown of offset from the most stable computed form, same order as above: 199 13 meV per atom